[1]
Compound: ZrCo2Br
Source: Alexandria via LeMat-Bulk
Functional: PBE
Structure: optimized geometry

POSCAR file:
```
ZrCo2Br
1.0
0.0000 3.1750 3.1750
3.1750 0.0000 3.1750
3.1750 3.1750 0.0000
Zr Co Br
1 2 1
Direct
0.0000 0.0000 0.0000
0.5000 0.5000 0.5000
0.7500 0.7500 0.7500
0.2500 0.2500 0.2500
```

Results
* total magnetic moment: 2.336 μB per formula unit
* energy relative to the elements, uncorrected: 0.44 eV per atom
* N(E_F): 7.5 states/eV/cell
* total energy: -5.67 eV per atom
* energy relative to the lowest polymorph listed for this composition: 553 meV/atom

---

[2]
Compound: ZrCoBr2
Source: Alexandria via LeMat-Bulk
Functional: PBE
Structure: optimized geometry

POSCAR file:
```
ZrCoBr2
1.0
-1.7313 1.9999 6.9884
1.7313 -1.9999 6.9884
1.7313 1.9999 -6.9884
Zr Co Br
1 1 2
Direct
0.0000 0.0000 0.0000
0.8801 0.3801 0.5000
0.3611 0.8611 0.5000
0.6049 0.6049 0.0000
```

Results
* total magnetic moment: 0.000 μB per formula unit
* energy relative to the elements, uncorrected: -0.30 eV per atom
* N(E_F): 2.6 states/eV/cell
* total energy: -5.05 eV per atom
* energy relative to the lowest polymorph listed for this composition: 167 meV/atom

---

Q: Among the records above, which one has the highest energy relative to the elements, uncorrected?
A: ZrCo2Br

---

Q: Look up the N(E_F) of the first one.
A: 7.5 states/eV/cell